[1]
## Ce5ErPb6 (GGA-PBE)

Data for a geometry-optimized Ce5ErPb6 structure.

The structure belongs to space group Immm (No. 71); the cell edges are 5.079, 9.073 and 15.273 Å and the angles 90.00°, 90.00° and 90.00°. Symmetry generates all atoms from Ce at (0.000, 0.000, 0.000), Ce at (0.000, 0.000, 0.332), Ce at (0.000, 0.500, 0.335), Er at (0.000, 0.500, 0.000), Pb at (0.000, 0.245, 0.500) and Pb at (0.000, 0.253, 0.165).

The value obtained for the electronic total energy is -5.10 eV/atom. Its distance to the lowest polymorph of the same formula is 0.0000 eV per atom. The magnetization comes out at 0.56 μB/atom. The formation enthalpy at 0 K comes out at -9.146 kcal/mol of atoms.

=====

[2]
## Ce3Er2Pb4 (GGA-PBE)

Data for a geometry-optimized Ce3Er2Pb4 structure.

The structure belongs to space group C2/m (No. 12); the cell edges are 16.307, 5.145 and 6.901 Å and the angles 90.00°, 105.20° and 90.00°. Symmetry generates all atoms from Ce at (0.000, 0.000, 0.000), Ce at (0.118, 0.000, 0.582), Er at (0.166, 0.500, 0.073), Pb at (0.007, 0.500, 0.284) and Pb at (0.243, 0.000, 0.280).

The value obtained for the electronic total energy is -4.99 eV/atom. The magnetization comes out at 0.37 μB/atom. The formation enthalpy at 0 K comes out at -8.127 kcal/mol of atoms.

=====

[3]
## CeErPb2 (GGA-PBE)

Data for a geometry-optimized CeErPb2 structure.

The structure belongs to space group R-3m (No. 166, hexagonal axes); the cell edges are 3.6413, 3.6413 and 30.9727 Å and the angles 90.00°, 90.00° and 120.00°. Symmetry generates all atoms from Ce at (0.0000, 0.0000, 0.0000), Er at (0.0000, 0.0000, 0.5000) and Pb at (0.0000, 0.0000, 0.2472).

The value obtained for the electronic total energy is -4.75 eV/atom. The magnetization comes out at 0.25 μB/atom. The formation enthalpy at 0 K comes out at -6.311 kcal/mol of atoms.

=====

[4]
## Ce3ErPb5 (GGA-PBE)

Data for a geometry-optimized Ce3ErPb5 structure.

The structure belongs to space group P6_3/mcm (No. 193); the cell edges are 9.6086, 9.6086 and 6.6333 Å and the angles 90.00°, 90.00° and 120.00°. Symmetry generates all atoms from Ce at (0.0000, 0.3834, 0.2500), Er at (0.0000, 0.0000, 0.0000), Pb at (0.0000, 0.2815, 0.7500) and Pb at (0.3333, 0.6667, 0.0000).

The value obtained for the electronic total energy is -4.97 eV/atom. The magnetization comes out at 0.21 μB/atom. The formation enthalpy at 0 K comes out at -9.764 kcal/mol of atoms.

=====

[5]
## Ce2Er2Pb (GGA-PBE)

Data for a geometry-optimized Ce2Er2Pb structure.

The structure belongs to space group I4/mmm (No. 139); the cell edges are 4.436, 4.436 and 16.589 Å and the angles 90.00°, 90.00° and 90.00°. Symmetry generates all atoms from Ce at (0.000, 0.000, 0.081), Er at (0.000, 0.500, 0.250) and Pb at (0.000, 0.000, 0.500).

The value obtained for the electronic total energy is -4.72 eV/atom. The magnetization comes out at 0.51 μB/atom. The formation enthalpy at 0 K comes out at 5.168 kcal/mol of atoms.

=====

[6]
## Ce5ErPb6 (GGA-PBE)

Data for a geometry-optimized Ce5ErPb6 structure.

The structure belongs to space group C2/m (No. 12); the cell edges are 7.851, 13.608 and 7.842 Å and the angles 90.00°, 109.53° and 90.00°. Symmetry generates all atoms from Ce at (0.000, 0.000, 0.000), Ce at (0.000, 0.166, 0.500), Ce at (0.000, 0.333, 0.000), Er at (0.000, 0.500, 0.500), Pb at (0.249, 0.334, 0.749) and Pb at (0.249, 0.500, 0.250).

The value obtained for the electronic total energy is -5.00 eV/atom. Its distance to the lowest polymorph of the same formula is 0.1041 eV per atom. The magnetization comes out at 0.02 μB/atom. The formation enthalpy at 0 K comes out at -6.746 kcal/mol of atoms.

=====

[7]
## CeEr4Pb2 (GGA-PBE)

Data for a geometry-optimized CeEr4Pb2 structure.

The structure belongs to space group P2_1/m (No. 11); the cell edges are 8.046, 6.599 and 8.768 Å and the angles 90.00°, 115.18° and 90.00°. Symmetry generates all atoms from Ce at (0.106, 0.250, 0.363), Er at (0.183, 0.750, 0.070), Er at (0.339, 0.003, 0.779), Er at (0.460, 0.750, 0.491), Pb at (0.050, 0.750, 0.366) and Pb at (0.273, 0.250, 0.087).

The value obtained for the electronic total energy is -4.71 eV/atom. The magnetization comes out at 0.14 μB/atom. The formation enthalpy at 0 K comes out at -4.513 kcal/mol of atoms.

=====

[8]
## Ce5ErPb4 (GGA-PBE)

Data for a geometry-optimized Ce5ErPb4 structure.

The structure belongs to space group C2/m (No. 12); the cell edges are 16.391, 4.818 and 8.128 Å and the angles 90.00°, 108.68° and 90.00°. Symmetry generates all atoms from Ce at (0.000, 0.000, 0.000), Ce at (0.127, 0.500, 0.954), Ce at (0.225, 0.000, 0.378), Er at (0.000, 0.000, 0.500), Pb at (0.072, 0.500, 0.314) and Pb at (0.183, 0.000, 0.767).

The value obtained for the electronic total energy is -5.21 eV/atom. The magnetization comes out at 0.52 μB/atom. The formation enthalpy at 0 K comes out at -7.050 kcal/mol of atoms.

=====

[9]
## Ce2ErPb2 (GGA-PBE)

Data for a geometry-optimized Ce2ErPb2 structure.

The structure belongs to space group Cmmm (No. 65); the cell edges are 5.120, 15.854 and 4.120 Å and the angles 90.00°, 90.00° and 90.00°. Symmetry generates all atoms from Ce at (0.000, 0.177, 0.000), Er at (0.000, 0.500, 0.000) and Pb at (0.000, 0.352, 0.500).

The value obtained for the electronic total energy is -4.93 eV/atom. Its distance to the lowest polymorph of the same formula is 0.0521 eV per atom. The magnetization comes out at 0.60 μB/atom. The formation enthalpy at 0 K comes out at -3.593 kcal/mol of atoms.

=====

[10]
## CeEr2Pb2 (GGA-PBE)

Data for a geometry-optimized CeEr2Pb2 structure.

The structure belongs to space group Fmmm (No. 69); the cell edges are 6.638, 6.649 and 14.137 Å and the angles 90.00°, 90.00° and 90.00°. Symmetry generates all atoms from Ce at (0.000, 0.000, 0.000), Er at (0.250, 0.250, 0.250) and Pb at (0.000, 0.000, 0.396).

The value obtained for the electronic total energy is -4.73 eV/atom. The magnetization comes out at 0.24 μB/atom. The formation enthalpy at 0 K comes out at -5.359 kcal/mol of atoms.

=====

[11]
## Ce2Er2Pb7 (GGA-PBE)

Data for a geometry-optimized Ce2Er2Pb7 structure.

The structure belongs to space group Cmmm (No. 65); the cell edges are 9.245, 11.012 and 7.190 Å and the angles 90.00°, 90.00° and 90.00°. Symmetry generates all atoms from Ce at (0.155, 0.000, 0.000), Er at (0.000, 0.278, 0.500), Pb at (0.000, 0.000, 0.500), Pb at (0.000, 0.500, 0.209) and Pb at (0.250, 0.250, 0.219).

The value obtained for the electronic total energy is -4.27 eV/atom. The magnetization comes out at 0.23 μB/atom. The formation enthalpy at 0 K comes out at -0.094 kcal/mol of atoms.

=====

[12]
## Ce2Er3Pb4 (GGA-PBE)

Data for a geometry-optimized Ce2Er3Pb4 structure.

The structure belongs to space group Cmce (No. 64); the cell edges are 7.152, 17.278 and 9.009 Å and the angles 90.00°, 90.00° and 90.00°. Symmetry generates all atoms from Ce at (0.000, 0.111, 0.086), Er at (0.000, 0.000, 0.500), Er at (0.250, 0.208, 0.750), Pb at (0.000, 0.185, 0.445) and Pb at (0.250, 0.032, 0.750).

The value obtained for the electronic total energy is -4.85 eV/atom. The magnetization comes out at 0.27 μB/atom. The formation enthalpy at 0 K comes out at -8.365 kcal/mol of atoms.

=====

- Which of these has the highest electronic total energy?
  Ce2Er2Pb7

=====

- Which of these has the highest magnetization?
  Ce2ErPb2

=====

- Look up the formation enthalpy at 0 K of the ninth one.
  -3.593 kcal/mol of atoms

=====

- Among the records above, which one has the lowest formation enthalpy at 0 K?
  Ce3ErPb5